Record 1
This record from the Alexandria database describes FeBi2I2 after structural relaxation. The functional is PBE.

Output
The calculation puts the density at 6.21 g cm⁻³. As for the space group: I4/mmm. For the formation energy from raw total energies, the calculation gives 0.6670 eV per atom.

Structure (POSCAR):
```
FeBi2I2
1.0
-2.1043 2.1043 10.9910
2.1043 -2.1043 10.9910
2.1043 2.1043 -10.9910
Fe Bi I
1 2 2
direct
0.0000 0.0000 0.0000 Fe
0.2500 0.7500 0.5000 Bi
0.7500 0.2500 0.5000 Bi
0.4203 0.4203 0.0000 I
0.5797 0.5797 0.0000 I
```

Record 2
This record from the Alexandria database describes CrHgC3 after structural relaxation. The functional is PBE.

Output
The formation enthalpy at 0 K is 1.901 eV/atom. The calculation puts the density at 7.91 g cm⁻³. As for the space group: Pm-3m.

Structure (POSCAR):
```
CrHgC3
1.0
3.9280 0.0000 0.0000
0.0000 3.9280 0.0000
0.0000 0.0000 3.9280
Cr Hg C
1 1 3
direct
0.0000 0.0000 0.0000 Cr
0.5000 0.5000 0.5000 Hg
0.0000 0.0000 0.5000 C
0.0000 0.5000 0.0000 C
0.5000 0.0000 0.0000 C
```